(1)
Density functional theory data (PBEsol) for a geometry-optimized KZrNi2 structure.

a b c (Å): 3.225 3.224 7.666
angles (deg): 90.00 89.92 90.00
Fractional positions:
K (0.500, 0.500, 0.500)
Ni (0.001, 0.000, 0.829)
Ni (0.999, 0.000, 0.171)
Zr (0.500, 0.500, 0.000)

Values from the calculation:
crystal system: monoclinic
V: 79.7 Å³ per cell
energy above the lowest structure with this stoichiometry: 0 meV/atom
energy of formation from the pure elements: 0.107 eV per atom

=====

(2)
Density functional theory data (PBEsol) for a geometry-optimized KZrNi2 structure.

a b c (Å): 3.875 3.875 5.323
angles (deg): 111.35 111.35 90.00
Fractional positions:
K (0.250, 0.750, 0.500)
Ni (0.000, 0.000, 0.000)
Ni (0.750, 0.250, 0.500)
Zr (0.500, 0.500, 0.000)

Values from the calculation:
crystal system: tetragonal
V: 68.5 Å³ per cell
energy above the lowest structure with this stoichiometry: 676 meV/atom
energy of formation from the pure elements: 0.784 eV per atom